Record 1
# Tb2Sm4DyTm | Alexandria via LeMat-Bulk | PBE-GGA | optimized geometry
data_Tb2Sm4DyTm
_cell_length_a 6.204
_cell_length_b 3.588
_cell_length_c 11.849
_cell_angle_alpha 90.00
_cell_angle_beta 100.17
_cell_angle_gamma 90.00
_symmetry_space_group_name_H-M 'P 1 2/m 1'
_symmetry_Int_Tables_number 10
loop_
_symmetry_equiv_pos_as_xyz
'x,y,z'
'-x,-y,-z'
'-x,y,-z'
'x,-y,z'
loop_
_atom_site_label
_atom_site_type_symbol
_atom_site_fract_x
_atom_site_fract_y
_atom_site_fract_z
Tb1 Tb 0.000 0.000 0.000
Tb2 Tb 0.000 0.500 0.500
Sm1 Sm 0.250 0.000 0.750
Sm2 Sm 0.251 0.500 0.251
Dy1 Dy 0.500 0.500 0.000
Tm1 Tm 0.500 0.000 0.500
# Mass density, g/cm³: 8.0
# N(E_F), states/eV/cell: 10.81
# ΔH_f (0 K), meV/atom: 17
# Total DFT energy (no corrections), eV per atom: -4.634


Record 2
# TbSm6Dy2Tm3 | Alexandria via LeMat-Bulk | PBE-GGA | optimized geometry
data_TbSm6Dy2Tm3
_cell_length_a 6.200
_cell_length_b 10.733
_cell_length_c 11.764
_cell_angle_alpha 90.00
_cell_angle_beta 100.07
_cell_angle_gamma 90.00
_symmetry_space_group_name_H-M 'C 1 2/m 1'
_symmetry_Int_Tables_number 12
loop_
_symmetry_equiv_pos_as_xyz
'x,y,z'
'-x,-y,-z'
'-x,y,-z'
'x,-y,z'
'x+1/2,y+1/2,z'
'-x+1/2,-y+1/2,-z'
'-x+1/2,y+1/2,-z'
'x+1/2,-y+1/2,z'
loop_
_atom_site_label
_atom_site_type_symbol
_atom_site_fract_x
_atom_site_fract_y
_atom_site_fract_z
Tb1 Tb 0.000 0.000 0.000
Sm1 Sm 0.249 0.000 0.748
Sm2 Sm 0.249 0.333 0.748
Dy1 Dy 0.000 0.333 0.000
Tm1 Tm 0.000 0.167 0.500
Tm2 Tm 0.000 0.500 0.500
# Mass density, g/cm³: 8.2
# N(E_F), states/eV/cell: 27.80
# ΔH_f (0 K), meV/atom: 16
# Total DFT energy (no corrections), eV per atom: -4.615


Record 3
# TbSm3Dy2Tm6 | Alexandria via LeMat-Bulk | PBE-GGA | optimized geometry
data_TbSm3Dy2Tm6
_cell_length_a 6.135
_cell_length_b 10.619
_cell_length_c 11.662
_cell_angle_alpha 90.00
_cell_angle_beta 100.06
_cell_angle_gamma 90.00
_symmetry_space_group_name_H-M 'C 1 2/m 1'
_symmetry_Int_Tables_number 12
loop_
_symmetry_equiv_pos_as_xyz
'x,y,z'
'-x,-y,-z'
'-x,y,-z'
'x,-y,z'
'x+1/2,y+1/2,z'
'-x+1/2,-y+1/2,-z'
'-x+1/2,y+1/2,-z'
'x+1/2,-y+1/2,z'
loop_
_atom_site_label
_atom_site_type_symbol
_atom_site_fract_x
_atom_site_fract_y
_atom_site_fract_z
Tb1 Tb 0.000 0.000 0.000
Sm1 Sm 0.000 0.167 0.500
Sm2 Sm 0.000 0.500 0.500
Dy1 Dy 0.000 0.333 0.000
Tm1 Tm 0.250 0.000 0.752
Tm2 Tm 0.250 0.167 0.248
# Mass density, g/cm³: 8.7
# N(E_F), states/eV/cell: 30.69
# ΔH_f (0 K), meV/atom: 21
# Total DFT energy (no corrections), eV per atom: -4.548


Record 4
# TbSmDyTm | Alexandria via LeMat-Bulk | PBE-GGA | optimized geometry
data_TbSmDyTm
_cell_length_a 8.014
_cell_length_b 8.014
_cell_length_c 8.014
_cell_angle_alpha 90.00
_cell_angle_beta 90.00
_cell_angle_gamma 90.00
_symmetry_space_group_name_H-M 'F -4 3 m'
_symmetry_Int_Tables_number 216
_symmetry_space_group_name_Hall 'F -4 2 3'
loop_
_atom_site_label
_atom_site_type_symbol
_atom_site_fract_x
_atom_site_fract_y
_atom_site_fract_z
Tb1 Tb 0.000 0.000 0.000
Sm1 Sm 0.000 0.000 0.500
Dy1 Dy 0.250 0.250 0.250
Tm1 Tm 0.250 0.250 0.750
# Mass density, g/cm³: 8.3
# N(E_F), states/eV/cell: 34.01
# ΔH_f (0 K), meV/atom: 132
# Total DFT energy (no corrections), eV per atom: -4.474
# Offset from the most stable computed form, meV per atom: 0